No. 1
Cs2TeSe3 after structural relaxation, computed with PBE-GGA.

Structure (POSCAR):
```
Cs2TeSe3
1.0
-6.365 -2.708 2.697
2.751 -8.711 -2.254
3.040 1.580 8.763
Se Cs Te
6 4 2
Cartesian
3.721 -6.174 2.901 Se
3.798 -3.413 5.857 Se
-4.777 -3.194 3.109 Se
2.795 -7.244 6.693 Se
-1.311 -2.395 5.040 Se
-1.389 -5.156 2.084 Se
1.855 -4.097 0.490 Cs
1.947 -0.817 4.001 Cs
0.613 -4.448 7.427 Cs
0.521 -7.728 3.916 Cs
-2.316 -2.886 2.756 Te
4.364 -5.838 5.338 Te
```

Calculated values
The value obtained for the energy relative to the elements, uncorrected is -705 meV per atom. For the magnetic moment, the calculation gives 0.000 μB/f.u. The value obtained for the energy above the most stable polymorph in this dataset is 0.0 meV/atom. As for the total energy: -3.2555 eV per atom.

---

No. 2
Cd7InHg2Pb2 after structural relaxation, computed with PBE-GGA.

Structure (POSCAR):
```
Cd7InHg2Pb2
1.0
4.430 0.015 -0.045
0.020 4.430 -0.045
2.124 2.121 15.682
Cd Hg Pb In
7 2 2 1
Cartesian
2.223 4.424 2.279 Cd
2.225 2.223 -0.045 Cd
4.351 2.143 13.314 Cd
4.426 2.218 2.279 Cd
4.368 4.363 8.283 Cd
2.207 2.204 7.310 Cd
2.148 4.349 13.314 Cd
2.217 2.214 4.410 Hg
4.358 4.353 11.183 Hg
4.451 4.446 5.200 Pb
2.123 2.121 10.392 Pb
0.000 0.000 0.000 In
```

Calculated values
The value obtained for the formation enthalpy at 0 K is 56 meV/atom. For the magnetic moment, the calculation gives 0.000 μB/f.u. As for the total energy: -1.3739 eV per atom.

---

No. 3
DyHo3Zr2N6 after structural relaxation, computed with PBE-GGA.

Structure (POSCAR):
```
DyHo3Zr2N6
1.0
3.375 0.000 0.000
0.000 6.771 0.235
-1.687 -1.958 7.099
N Ho Zr Dy
6 3 2 1
Cartesian
1.687 -0.006 2.412 N
0.000 1.703 0.146 N
1.687 3.111 7.188 N
0.000 4.819 4.923 N
1.687 3.229 2.557 N
0.000 1.585 4.778 N
1.687 3.385 0.118 Ho
1.687 -0.173 4.769 Ho
0.000 4.986 2.565 Ho
1.687 3.202 4.883 Zr
0.000 1.611 2.451 Zr
1.687 0.000 0.000 Dy
```

Calculated values
The value obtained for the energy relative to the elements, uncorrected is -1745 meV per atom. For the magnetic moment, the calculation gives 0.000 μB/f.u. As for the total energy: -8.8608 eV per atom.